(1)
DFT (GGA-PBE) results for a geometry-optimized ZnCdBr2Cl structure.

Structure (POSCAR):
```
ZnCdBr2Cl
1.0
4.036 -0.100 0.015
1.442 3.932 0.027
0.527 1.021 9.688
Cl Br Zn Cd
1 2 1 1
Direct
0.591 0.833 0.293
0.855 0.186 0.602
0.189 0.495 0.933
0.805 0.117 0.868
0.255 0.419 0.402
```

Values from the calculation:
distance to the lowest polymorph of the same formula = 48 kJ/mol of formula units
formation energy from raw total energies = -0.598 eV/atom
magnetic moment = 0.0 μB per cell
calculated total energy = -2.075 eV per atom
V = 31.0 Å³ per atom



(2)
DFT (GGA-PBE) results for a geometry-optimized ZnCdBr2Cl structure.

Structure (POSCAR):
```
ZnCdBr2Cl
1.0
3.712 0.002 0.002
-1.100 3.737 0.002
-0.439 -0.405 11.877
Cd Zn Cl Br
1 1 1 2
Direct
0.193 0.381 0.547
0.142 0.851 0.978
0.625 0.838 0.859
0.162 0.364 0.104
0.537 0.970 0.413
```

Values from the calculation:
distance to the lowest polymorph of the same formula = 32 kJ/mol of formula units
formation energy from raw total energies = -0.631 eV/atom
magnetic moment = 0.0 μB per cell
calculated total energy = -2.107 eV per atom
V = 33.0 Å³ per atom



(3)
DFT (GGA-PBE) results for a geometry-optimized ZnCdBr2Cl structure.

Structure (POSCAR):
```
ZnCdBr2Cl
1.0
-2.633 3.123 -2.900
-3.348 -1.724 1.183
-1.112 10.915 12.766
Br Cl Cd Zn
4 2 2 2
Direct
0.000 0.000 0.834
0.000 0.000 0.495
0.500 0.500 0.334
0.500 0.500 0.995
0.000 0.000 0.175
0.500 0.500 0.675
0.500 0.000 0.582
0.000 0.500 0.082
0.500 0.000 0.422
0.000 0.500 0.922
```

Values from the calculation:
distance to the lowest polymorph of the same formula = 0 kJ/mol of formula units
formation energy from raw total energies = -0.697 eV/atom
magnetic moment = 0.0 μB per cell
calculated total energy = -2.174 eV per atom
V = 33.3 Å³ per atom



(4)
DFT (GGA-PBE) results for a geometry-optimized ZnCdBr2Cl structure.

Structure (POSCAR):
```
ZnCdBr2Cl
1.0
-2.246 -0.387 -2.946
2.947 -5.583 -1.517
-4.060 -6.145 1.557
Cl Zn Cd Br
1 1 1 2
Direct
0.998 0.823 0.398
0.583 0.766 0.228
0.762 0.466 0.868
0.558 0.376 0.279
0.759 0.021 0.874
```

Values from the calculation:
distance to the lowest polymorph of the same formula = 18 kJ/mol of formula units
formation energy from raw total energies = -0.659 eV/atom
magnetic moment = 0.0 μB per cell
calculated total energy = -2.136 eV per atom
V = 32.0 Å³ per atom



(5)
DFT (GGA-PBE) results for a geometry-optimized ZnCdBr2Cl structure.

Structure (POSCAR):
```
ZnCdBr2Cl
1.0
-1.459 -0.974 -3.593
-1.938 -3.098 1.625
-9.434 4.150 0.547
Zn Br Cl Cd
1 2 1 1
Direct
0.497 0.536 0.819
0.426 0.979 0.965
0.067 0.592 0.674
0.726 0.349 0.320
0.225 0.850 0.320
```

Values from the calculation:
distance to the lowest polymorph of the same formula = 12 kJ/mol of formula units
formation energy from raw total energies = -0.672 eV/atom
magnetic moment = 0.0 μB per cell
calculated total energy = -2.148 eV per atom
V = 32.0 Å³ per atom



(6)
DFT (GGA-PBE) results for a geometry-optimized ZnCdBr2Cl structure.

Structure (POSCAR):
```
ZnCdBr2Cl
1.0
4.078 0.061 0.024
-0.924 4.054 -0.023
-1.649 -1.952 9.829
Br Cl Cd Zn
2 1 1 1
Direct
0.346 0.793 0.713
0.609 0.181 0.367
0.947 0.527 0.046
0.523 0.599 0.199
0.787 0.350 0.713
```

Values from the calculation:
distance to the lowest polymorph of the same formula = 37 kJ/mol of formula units
formation energy from raw total energies = -0.620 eV/atom
magnetic moment = 0.0 μB per cell
calculated total energy = -2.096 eV per atom
V = 32.6 Å³ per atom